(1)
Entry from Alexandria: a geometry-optimized Sm2Ni2Pd structure (PBE).

Values from the calculation:
ΔH_f (0 K), kJ/mol of formula units: -257
Theoretical density, Mg/m³: 8.8

Lattice parameters (Å, degrees): 3.7283 3.8380 7.1522 105.56 90.00 90.00
Sites, in units of the cell vectors:
Ni  0.0000  0.1988  0.3977
Ni  0.0000  0.8012  0.6023
Sm  0.5000  0.6269  0.2537
Sm  0.5000  0.3731  0.7463
Pd  0.0000  0.0000  0.0000


(2)
Entry from Alexandria: a geometry-optimized LiZr2TeO8 structure (PBE).

Values from the calculation:
Theoretical density, Mg/m³: 4.9
E_form (uncorrected), eV/atom: -2.14

Lattice parameters (Å, degrees): 4.7996 4.7995 6.5868 90.00 90.00 90.05
Each line ends with the local moment (μB).
Sites, in units of the cell vectors:
O  0.3063  0.3059  0.5000  0.05
O  0.1928  0.8067  0.2159  0.07
O  0.7113  0.7118  0.0000  0.07
O  0.2887  0.2882  0.0000  0.07
O  0.1928  0.8067  0.7841  0.07
O  0.8072  0.1933  0.7841  0.07
O  0.6937  0.6941  0.5000  0.05
O  0.8072  0.1933  0.2159  0.07
Zr  0.5000  0.5000  0.7353  -0.01
Zr  0.5000  0.5000  0.2647  -0.01
Li  0.0000  0.0000  0.5000  0.00
Te  0.0000  0.0000  0.0000  -0.01


(3)
Entry from Alexandria: a geometry-optimized HoTc2Ge3 structure (PBE).

Values from the calculation:
ΔH_f (0 K), kJ/mol of formula units: -202
Offset from the most stable computed form, meV per atom: 0
Theoretical density, Mg/m³: 8.9

Lattice parameters (Å, degrees): 4.3923 6.1627 8.5833 90.00 90.00 110.88
Sites, in units of the cell vectors:
Tc  0.5414  0.0828  0.7500
Tc  0.0000  0.0000  0.0000
Tc  0.4586  0.9172  0.2500
Tc  0.0000  0.0000  0.5000
Ge  0.6193  0.2387  0.4672
Ge  0.3807  0.7613  0.9672
Ge  0.6193  0.2387  0.0328
Ge  0.1361  0.2723  0.7500
Ge  0.8639  0.7277  0.2500
Ge  0.3807  0.7613  0.5328
Ho  0.8194  0.6389  0.7500
Ho  0.1806  0.3611  0.2500


> Which value of theoretical density does entry 2 give?

4.9 Mg/m³


> Which value of theoretical density does entry 2 give?

4.9 Mg/m³